Entry 1:
HgPt2Rh: relaxed, PBE.

abc: 3.894 3.894 18.938
angles: 90.00 90.00 90.00
Element x y z (fractional)
Hg (0.000, 0.000, 0.000)
Hg (0.000, 0.500, 0.250)
Hg (0.500, 0.000, 0.750)
Hg (0.500, 0.500, 0.500)
Pt (0.233, 0.250, 0.625)
Pt (0.250, 0.733, 0.875)
Pt (0.250, 0.767, 0.375)
Pt (0.267, 0.250, 0.125)
Pt (0.733, 0.750, 0.125)
Pt (0.750, 0.233, 0.375)
Pt (0.750, 0.267, 0.875)
Pt (0.767, 0.750, 0.625)
Rh (0.000, 0.000, 0.500)
Rh (0.000, 0.500, 0.750)
Rh (0.500, 0.000, 0.250)
Rh (0.500, 0.500, 0.000)

Summary:
final energy: -4.59 eV per atom
energy of formation from the pure elements: 33 kJ per mole of atoms

=====

Entry 2:
La2LuSc: relaxed, PBE.

abc: 8.004 8.004 8.004
angles: 90.00 90.00 90.00
Element x y z (fractional)
La (0.250, 0.250, 0.250)
La (0.250, 0.250, 0.750)
La (0.250, 0.750, 0.250)
La (0.250, 0.750, 0.750)
La (0.750, 0.250, 0.250)
La (0.750, 0.250, 0.750)
La (0.750, 0.750, 0.250)
La (0.750, 0.750, 0.750)
Lu (0.000, 0.000, 0.000)
Lu (0.000, 0.500, 0.500)
Lu (0.500, 0.000, 0.500)
Lu (0.500, 0.500, 0.000)
Sc (0.000, 0.000, 0.500)
Sc (0.000, 0.500, 0.000)
Sc (0.500, 0.000, 0.000)
Sc (0.500, 0.500, 0.500)

Summary:
final energy: -5.11 eV per atom
energy of formation from the pure elements: 6 kJ per mole of atoms
energy relative to the lowest polymorph listed for this composition: 21.5 meV per atom

=====

Entry 3:
LaTiZnPt2: relaxed, PBE.

abc: 4.075 4.075 12.113
angles: 90.00 90.00 90.00
Element x y z (fractional)
La (0.000, 0.000, 0.000)
La (0.500, 0.500, 0.500)
Ti (0.000, 0.500, 0.750)
Ti (0.500, 0.000, 0.250)
Zn (0.000, 0.500, 0.250)
Zn (0.500, 0.000, 0.750)
Pt (0.000, 0.000, 0.386)
Pt (0.000, 0.000, 0.614)
Pt (0.500, 0.500, 0.114)
Pt (0.500, 0.500, 0.886)

Summary:
final energy: -6.10 eV per atom
energy of formation from the pure elements: -83 kJ per mole of atoms

=====

Entry 4:
RePtSe: relaxed, PBE.

abc: 6.042 6.042 6.042
angles: 90.00 90.00 90.00
Element x y z (fractional)
Re (0.000, 0.000, 0.000)
Re (0.000, 0.500, 0.500)
Re (0.500, 0.000, 0.500)
Re (0.500, 0.500, 0.000)
Pt (0.250, 0.250, 0.250)
Pt (0.250, 0.750, 0.750)
Pt (0.750, 0.250, 0.750)
Pt (0.750, 0.750, 0.250)
Se (0.250, 0.250, 0.750)
Se (0.250, 0.750, 0.250)
Se (0.750, 0.250, 0.250)
Se (0.750, 0.750, 0.750)

Summary:
final energy: -6.99 eV per atom
energy relative to the lowest polymorph listed for this composition: 136.4 meV per atom

=====

Entry 5:
CeLuNi2: relaxed, PBE.

abc: 4.770 4.770 3.317
angles: 90.00 90.00 90.00
Element x y z (fractional)
Ce (0.000, 0.000, 0.000)
Lu (0.500, 0.500, 0.000)
Ni (0.000, 0.500, 0.500)
Ni (0.500, 0.000, 0.500)

Summary:
final energy: -5.87 eV per atom
energy of formation from the pure elements: -35 kJ per mole of atoms
energy relative to the lowest polymorph listed for this composition: 0.0 meV per atom

=====

Entry 6:
ScGa4B2: relaxed, PBE.

abc: 5.262 5.262 11.139
angles: 90.00 90.00 90.00
Element x y z (fractional)
Sc (0.000, 0.000, 0.000)
Sc (0.500, 0.500, 0.500)
Ga (0.000, 0.000, 0.247)
Ga (0.000, 0.000, 0.753)
Ga (0.000, 0.500, 0.000)
Ga (0.000, 0.500, 0.500)
Ga (0.500, 0.000, 0.000)
Ga (0.500, 0.000, 0.500)
Ga (0.500, 0.500, 0.253)
Ga (0.500, 0.500, 0.747)
B (0.000, 0.000, 0.430)
B (0.000, 0.000, 0.570)
B (0.500, 0.500, 0.070)
B (0.500, 0.500, 0.930)

Summary:
final energy: -3.86 eV per atom
energy of formation from the pure elements: 65 kJ per mole of atoms

=====

Number 6 is which compound?
ScGa4B2

=====

Which of these has the lowest final energy?
RePtSe

=====

Among the records above, which one has the highest final energy?
ScGa4B2